# 1
Here is Ba3W5 after structural relaxation from Alexandria. Energies are from PBE.

Computed properties:
The mass density is 11.77 g cm⁻³. Its raw total energy is -56.8 eV/f.u. For the density of states at the Fermi level, the calculation gives 9.9 states/eV/cell. As for the formation energy from the elements: 1.7209 eV per atom. The calculation puts the calculated volume at 23.48 Å³/atom.

Geometry as CIF:
```
data_Ba3W5
_space_group_name_H-M_alt 'P 1'
_space_group_IT_number 1
_cell_length_a 6.172
_cell_length_b 6.172
_cell_length_c 5.070
_cell_angle_alpha 90.00
_cell_angle_beta 90.00
_cell_angle_gamma 103.45
loop_
_space_group_symop_operation_xyz
'x,y,z'
loop_
_atom_site_label
_atom_site_fract_x
_atom_site_fract_y
_atom_site_fract_z
Ba1 0.500 0.500 0.000
Ba2 0.708 0.292 0.500
W1 0.000 0.500 0.000
W2 0.500 0.000 0.000
W3 0.154 0.154 0.500
W4 0.000 0.000 0.000
Ba3 0.292 0.708 0.500
W5 0.846 0.846 0.500
```

=====

# 2
Here is Ag2Hg3Pd3 after structural relaxation from Alexandria. Energies are from PBE.

Computed properties:
The mass density is 13.00 g cm⁻³. For the distance to the lowest polymorph of the same formula, the calculation gives 0.28 kcal/mol of atoms. Its raw total energy is -22.9 eV/f.u. For the density of states at the Fermi level, the calculation gives 3.1 states/eV/cell. As for the formation energy from the elements: -0.0857 eV per atom. The calculation puts the calculated volume at 18.15 Å³/atom.

Geometry as CIF:
```
data_Ag2Hg3Pd3
_space_group_name_H-M_alt 'P 1'
_space_group_IT_number 1
_cell_length_a 4.131
_cell_length_b 4.233
_cell_length_c 8.301
_cell_angle_alpha 90.00
_cell_angle_beta 90.00
_cell_angle_gamma 90.00
loop_
_space_group_symop_operation_xyz
'x,y,z'
loop_
_atom_site_label
_atom_site_fract_x
_atom_site_fract_y
_atom_site_fract_z
Ag1 0.000 0.000 0.260
Hg1 0.500 0.500 0.267
Pd1 0.500 0.000 0.500
Hg2 0.500 0.000 0.000
Pd2 0.000 0.500 0.500
Pd3 0.000 0.500 0.000
Hg3 0.500 0.500 0.733
Ag2 0.000 0.000 0.740
```